A plane-wave DFT calculation with PBE with a Hubbard U was carried out for a relaxed structure of FeP2O.

Cell lengths 4.8683, 4.8683, 6.2905 Å; angles 67.23, 67.23, 90.00 degrees
Last column: nearest neighbours and their distance in Å.
Sites, in units of the cell vectors:
1 P 0.5859 0.1250 0.2500  2 O 2.07, 2 Fe 2.28
2 P 0.1641 0.6250 0.2500  2 O 2.07, 2 Fe 2.28
3 P 0.3750 0.4141 0.7500  2 O 2.07, 2 Fe 2.28
4 P 0.8750 0.8359 0.7500  2 O 2.07, 2 Fe 2.28
5 Fe 0.0000 0.0000 0.0000  4 P 2.28
6 Fe 0.7500 0.2500 0.5000  4 P 2.28
7 O 0.5000 0.5000 0.0000  4 P 2.07
8 O 0.2500 0.7500 0.5000  4 P 2.07

Output
Total DFT energy (no corrections)   -4.883 eV per atom
N(E_F)   0.504 states/eV/atom